A relaxed structure of ErVIO4, computed with GGA+U.

Total DFT energy (no corrections) ... -6.97 eV per atom
Mass density ... 5.46 g/cm3

Geometry as CIF:
```
data_ErVIO4
_symmetry_space_group_name_H-M 'C 1 2/m 1'
_symmetry_Int_Tables_number 12
_cell_length_a 12.0666
_cell_length_b 6.2804
_cell_length_c 6.7379
_cell_angle_alpha 90.00
_cell_angle_beta 102.88
_cell_angle_gamma 90.00
loop_
_symmetry_equiv_pos_as_xyz
'x,y,z'
'-x,-y,-z'
'-x,y,-z'
'x,-y,z'
'x+1/2,y+1/2,z'
'-x+1/2,-y+1/2,-z'
'-x+1/2,y+1/2,-z'
'x+1/2,-y+1/2,z'
loop_
_atom_site_label
_atom_site_type_symbol
_atom_site_fract_x
_atom_site_fract_y
_atom_site_fract_z
Er1 Er 0.2026 0.0000 0.3399
V1 V 0.1309 0.0000 0.7570
I1 I 0.0402 0.5000 0.2015
O1 O 0.0135 0.0000 0.2764
O2 O 0.1782 0.2156 0.6222
O3 O 0.1933 0.0000 0.0115
```